First-principles (PBE) data for a geometry-optimized NbS2NCl structure, as listed in the Alexandria database.

Lattice parameters (Å, degrees): 4.912 4.912 4.002 90.00 90.00 90.00
Fractional coordinates of all 5 atoms:
Nb 0.000 0.000 0.000
S 0.000 0.500 0.000
S 0.500 0.000 0.000
N 0.000 0.000 0.500
Cl 0.500 0.500 0.500

Summary:
energy = -27.11 eV per cell
calculated volume = 96.5 Å³/cell
formation energy from raw total energies = 0.28 eV/atom
magnetic moment = 0.29 μB/cell



First-principles (PBE) data for a geometry-optimized NbSN2Cl structure, as listed in the Alexandria database.

Lattice parameters (Å, degrees): 3.974 3.974 5.431 90.00 90.00 90.00
Fractional coordinates of all 5 atoms:
Nb 0.000 0.000 0.000
S 0.000 0.000 0.500
N 0.000 0.500 0.000
N 0.500 0.000 0.000
Cl 0.500 0.500 0.500

Summary:
energy = -29.87 eV per cell
calculated volume = 85.8 Å³/cell
formation energy from raw total energies = 0.56 eV/atom
magnetic moment = 1.20 μB/cell



First-principles (PBE) data for a geometry-optimized NbSe2NCl structure, as listed in the Alexandria database.

Lattice parameters (Å, degrees): 5.093 5.093 3.377 90.00 90.00 90.00
Fractional coordinates of all 5 atoms:
Nb 0.000 0.000 0.000
Se 0.000 0.500 0.500
Se 0.500 0.000 0.500
N 0.500 0.500 0.000
Cl 0.500 0.500 0.500

Summary:
energy = -20.13 eV per cell
calculated volume = 87.6 Å³/cell
formation energy from raw total energies = 1.42 eV/atom
magnetic moment = 1.41 μB/cell



First-principles (PBE) data for a geometry-optimized NbSe2NCl structure, as listed in the Alexandria database.

Lattice parameters (Å, degrees): 5.161 5.161 3.985 90.00 90.00 90.00
Fractional coordinates of all 5 atoms:
Nb 0.000 0.000 0.000
Se 0.000 0.500 0.000
Se 0.500 0.000 0.000
N 0.000 0.000 0.500
Cl 0.500 0.500 0.500

Summary:
energy = -26.18 eV per cell
calculated volume = 106.2 Å³/cell
formation energy from raw total energies = 0.21 eV/atom
magnetic moment = 1.19 μB/cell